No. 1
VASP calculation (PBE) on a relaxed HfZrW3 crystal.

Cell lengths 4.797, 4.797, 4.797 Å; angles 90.00, 90.00, 90.00 degrees
Space group Pm-3m (No. 221)
Symmetry-distinct sites (fractional):
Hf  0.000  0.000  0.000 x1
Zr  0.500  0.500  0.500 x1
W  0.000  0.000  0.500 x3

Properties
**ΔE_f**: 2054 meV/atom
**Energy above the most stable polymorph in this dataset**: 0.000 eV/atom

***

No. 2
VASP calculation (PBE) on a relaxed Co2WAu crystal.

Cell lengths 6.090, 6.090, 6.090 Å; angles 90.00, 90.00, 90.00 degrees
Space group F-43m (No. 216)
Symmetry-distinct sites (fractional):
Co  0.000  0.000  0.000 x4
Co  0.250  0.250  0.250 x4
W  0.250  0.250  0.750 x4
Au  0.000  0.000  0.500 x4

Properties
**ΔE_f**: 508 meV/atom
**Energy above the most stable polymorph in this dataset**: 0.353 eV/atom